VASP calculation (PBE) on a relaxed structure of SrPPt2.

a b c (Å): 4.174 4.174 8.738
angles (deg): 90.00 90.00 90.00
Fractional positions:
Sr: 0.000 0.000 0.000
Sr: 0.500 0.500 0.500
P: 0.000 0.500 0.750
P: 0.500 0.000 0.250
Pt: 0.000 0.000 0.500
Pt: 0.000 0.500 0.250
Pt: 0.500 0.000 0.750
Pt: 0.500 0.500 0.000

Summary:
Crystal system ... tetragonal
Magnetic moment ... 0.00 Bohr magnetons per cell
E_form ... -0.175 eV/atom